Entry 1:
Computed, not measured: Cs2HfCdF6 after structural relaxation at the PBE-GGA level of DFT.

Cell and atoms, written as POSCAR:
```
Cs2HfCdF6
1.0
0.0000 5.0350 5.0350
5.0350 0.0000 5.0350
5.0350 5.0350 0.0000
Cs Hf Cd F
2 1 1 6
direct
0.2500 0.2500 0.2500 Cs
0.7500 0.7500 0.7500 Cs
0.0000 0.0000 0.0000 Hf
0.5000 0.5000 0.5000 Cd
0.1995 0.1995 0.8005 F
0.1995 0.8005 0.1995 F
0.1995 0.8005 0.8005 F
0.8005 0.1995 0.1995 F
0.8005 0.1995 0.8005 F
0.8005 0.8005 0.1995 F
```

Calculated values
total energy = -5.391 eV per atom



Entry 2:
Computed, not measured: Cs2CdHg3F12 after structural relaxation at the PBE-GGA level of DFT.

Cell and atoms, written as POSCAR:
```
Cs2CdHg3F12
1.0
4.1205 2.3790 6.5431
-4.1205 2.3790 6.5431
0.0000 -4.7580 6.5431
Cs Cd Hg F
2 1 3 12
direct
0.1375 0.1375 0.1375 Cs
0.8625 0.8625 0.8625 Cs
0.5000 0.5000 0.5000 Cd
0.0000 0.5000 0.5000 Hg
0.5000 0.0000 0.5000 Hg
0.5000 0.5000 0.0000 Hg
0.1721 0.1721 0.5707 F
0.1721 0.5707 0.1721 F
0.1726 0.5793 0.5793 F
0.4207 0.4207 0.8274 F
0.4207 0.8274 0.4207 F
0.4293 0.8279 0.8279 F
0.5707 0.1721 0.1721 F
0.5793 0.1726 0.5793 F
0.5793 0.5793 0.1726 F
0.8274 0.4207 0.4207 F
0.8279 0.4293 0.8279 F
0.8279 0.8279 0.4293 F
```

Calculated values
total energy = -3.196 eV per atom



Entry 3:
Computed, not measured: Cs3Cd2HgF9 after structural relaxation at the PBE-GGA level of DFT.

Cell and atoms, written as POSCAR:
```
Cs3Cd2HgF9
1.0
6.4940 0.0000 0.0000
-3.2470 5.6240 0.0000
0.0000 0.0000 7.9631
Cs Cd Hg F
3 2 1 9
direct
0.0000 0.0000 0.0000 Cs
0.3333 0.6667 0.6644 Cs
0.6667 0.3333 0.3356 Cs
0.3333 0.6667 0.1615 Cd
0.6667 0.3333 0.8385 Cd
0.0000 0.0000 0.5000 Hg
0.0000 0.5000 0.0000 F
0.1696 0.3393 0.3285 F
0.1696 0.8304 0.3285 F
0.3393 0.1696 0.6715 F
0.5000 0.0000 0.0000 F
0.5000 0.5000 0.0000 F
0.6607 0.8304 0.3285 F
0.8304 0.1696 0.6715 F
0.8304 0.6607 0.6715 F
```

Calculated values
total energy = -3.747 eV per atom



Entry 4:
Computed, not measured: Cs2CdHgF6 after structural relaxation at the PBE-GGA level of DFT.

Cell and atoms, written as POSCAR:
```
Cs2CdHgF6
1.0
0.0000 4.6138 4.6138
4.6138 0.0000 4.6138
4.6138 4.6138 0.0000
Cs Cd Hg F
2 1 1 6
direct
0.2500 0.2500 0.2500 Cs
0.7500 0.7500 0.7500 Cs
0.0000 0.0000 0.0000 Cd
0.5000 0.5000 0.5000 Hg
0.2458 0.2458 0.7542 F
0.2458 0.7542 0.2458 F
0.2458 0.7542 0.7542 F
0.7542 0.2458 0.2458 F
0.7542 0.2458 0.7542 F
0.7542 0.7542 0.2458 F
```

Calculated values
total energy = -3.650 eV per atom



Entry 5:
Computed, not measured: CsCd2HgF8 after structural relaxation at the PBE-GGA level of DFT.

Cell and atoms, written as POSCAR:
```
CsCd2HgF8
1.0
4.9311 0.0000 0.0000
0.0000 7.5133 0.0000
-0.4117 0.0000 5.7580
Cs Cd Hg F
1 2 1 8
direct
0.0000 0.0000 0.0000 Cs
0.5000 0.2621 0.5000 Cd
0.5000 0.7379 0.5000 Cd
0.0000 0.5000 0.0000 Hg
0.1179 0.3055 0.2641 F
0.1179 0.6945 0.2641 F
0.3817 0.5000 0.7230 F
0.4361 0.0000 0.7053 F
0.5639 0.0000 0.2947 F
0.6183 0.5000 0.2770 F
0.8821 0.3055 0.7359 F
0.8821 0.6945 0.7359 F
```

Calculated values
total energy = -3.363 eV per atom



Entry 6:
Computed, not measured: CsCdHg2F8 after structural relaxation at the PBE-GGA level of DFT.

Cell and atoms, written as POSCAR:
```
CsCdHg2F8
1.0
3.0569 1.7649 7.1082
-3.0569 1.7649 7.1082
0.0000 -3.5298 7.1082
Cs Cd Hg F
1 1 2 8
direct
0.0000 0.0000 0.0000 Cs
0.5000 0.5000 0.5000 Cd
0.2022 0.2022 0.2022 Hg
0.7978 0.7978 0.7978 Hg
0.1572 0.8183 0.3881 F
0.1817 0.6119 0.8428 F
0.3013 0.3013 0.3013 F
0.3881 0.1572 0.8183 F
0.6119 0.8428 0.1817 F
0.6987 0.6987 0.6987 F
0.8183 0.3881 0.1572 F
0.8428 0.1817 0.6119 F
```

Calculated values
total energy = -3.149 eV per atom



Quick rundown of total moment, same order as above: 0.00 0.36 0.00 0.00 1.10 1.10 μB per formula unit
Quick rundown of calculated volume, same order as above: 25.53 21.38 19.39 19.64 17.78 19.18 Å³ per atom